Record 1
Below is a geometry-optimized LiGdCoCu structure, with properties calculated at the GGA-PBE level.

Geometry as POSCAR:
```
LiGdCoCu
1.0
4.4834 0.0000 0.0000
2.2417 3.8827 0.0000
2.2417 1.2942 3.6607
Gd Co Cu Li
1 1 1 1
Cartesian
6.7251 3.8827 2.7455
4.4834 2.5885 1.8303
2.2417 1.2942 0.9152
0.0000 0.0000 0.0000
```

Computed properties:
- SG = F-43m
- ΔH_f (0 K) (eV per atom) = 0.083

=====

Record 2
Below is a geometry-optimized CsSb2Au2Se6 structure, with properties calculated at the GGA-PBE level.

Geometry as POSCAR:
```
CsSb2Au2Se6
1.0
7.2074 0.2624 -0.1016
3.9376 10.5442 1.2665
-0.2631 -5.1513 4.9686
Cs Sb Au Se
1 2 2 6
Cartesian
3.4722 -2.4444 2.4335
7.0176 0.1131 4.8057
3.8643 5.5422 1.3278
3.1873 3.7989 4.6044
7.6947 1.8565 1.5291
5.2746 2.2078 5.2650
2.0161 3.3287 0.7524
3.9125 6.0153 3.8558
8.8658 2.3266 5.3811
6.9695 -0.3600 2.2777
5.6074 3.4475 0.8685
```

Computed properties:
- SG = P-1

=====

Record 3
Below is a geometry-optimized LiMnAg2Rh structure, with properties calculated at the GGA-PBE level.

Geometry as POSCAR:
```
LiMnAg2Rh
1.0
-1.9835 -3.3456 -3.3659
2.6747 -3.3432 1.7469
-3.6974 -1.1976 3.3692
Mn Rh Ag Li
1 1 2 1
Cartesian
1.3373 -1.6716 0.8734
0.0000 0.0000 0.0000
-1.8487 -0.5988 1.6846
-0.9918 -1.6728 -1.6829
-1.5031 -3.9432 0.8751
```

Computed properties:
- SG = P4/mmm
- ΔH_f (0 K) (eV per atom) = 0.649

=====

Record 4
Below is a geometry-optimized MgZnSCl2 structure, with properties calculated at the GGA-PBE level.

Geometry as POSCAR:
```
MgZnSCl2
1.0
-0.3596 -2.3117 -4.0380
2.5734 -3.4730 1.7591
-4.2279 -2.2807 1.6822
Mg Zn S Cl
1 1 1 2
Cartesian
-1.0070 -4.0328 -0.2983
0.0000 0.0000 0.0000
-2.1140 -1.1404 0.8411
1.2867 -1.7365 0.8796
-0.1798 -1.1559 -2.0190
```

Computed properties:
- SG = P4/mmm
- relative energy among the computed polymorphs (eV/f.u.) = 0.00

=====

Record 5
Below is a geometry-optimized Ac2Pr3Ag4 structure, with properties calculated at the GGA-PBE level.

Geometry as POSCAR:
```
Ac2Pr3Ag4
1.0
7.8601 -0.2185 0.0000
-2.8137 8.8704 0.0000
0.0000 0.0000 8.0174
Ac Pr Ag
4 6 8
Cartesian
3.8609 1.5543 2.6069
5.1156 6.9884 6.6157
1.1855 7.0976 5.4105
-0.0692 1.6635 1.4018
-1.4069 4.4352 4.0087
2.5232 4.3259 0.0000
5.0765 1.9865 6.6137
3.9000 6.5562 2.6050
-0.0301 6.6654 1.4037
1.1464 2.0957 5.4125
6.4992 0.3803 4.3100
2.4772 8.1624 0.3013
-1.4528 8.2716 3.7074
2.5692 0.4895 7.7162
5.4816 4.1709 1.0292
3.4949 4.3718 5.0379
-0.4352 4.4810 6.9882
1.5515 4.2801 2.9795
```

Computed properties:
- SG = P2_1/c
- ΔH_f (0 K) (eV per atom) = -0.191

=====

Record 6
Below is a geometry-optimized Pr2BeIn structure, with properties calculated at the GGA-PBE level.

Geometry as POSCAR:
```
Pr2BeIn
1.0
-2.0556 1.9708 -2.3095
-3.0291 -1.1418 1.7217
0.4378 6.1009 4.8164
Pr Be In
2 1 1
Cartesian
0.3417 4.7613 3.7588
0.0961 1.3397 1.0576
-2.5423 0.4145 -0.2939
-2.3234 3.4649 2.1143
```

Computed properties:
- SG = P4/mmm
- ΔH_f (0 K) (eV per atom) = -0.129

=====

Record 7
Below is a geometry-optimized Sc2BRu2 structure, with properties calculated at the GGA-PBE level.

Geometry as POSCAR:
```
Sc2BRu2
1.0
5.9963 0.0000 0.0000
0.0000 5.9963 0.0000
0.0000 0.0000 4.2612
Sc Ru B
4 4 2
Cartesian
1.0120 4.0101 2.1306
4.0101 4.9844 2.1306
4.9844 1.9862 2.1306
1.9862 1.0120 2.1306
2.0308 5.0290 0.0000
5.0290 3.9655 0.0000
3.9655 0.9673 0.0000
0.9673 2.0308 0.0000
0.0000 0.0000 0.0000
2.9982 2.9982 0.0000
```

Computed properties:
- SG = P4/mbm
- ΔH_f (0 K) (eV per atom) = -0.331

=====

Record 8
Below is a geometry-optimized MgBe2Te structure, with properties calculated at the GGA-PBE level.

Geometry as POSCAR:
```
MgBe2Te
1.0
-1.7309 -2.3429 -2.1797
2.3302 0.8583 -2.7730
4.1422 -3.2116 0.1627
Be Mg Te
2 1 1
Cartesian
0.4159 0.1523 -0.4940
0.3874 -2.0217 -1.1708
2.8366 -0.9232 -1.2602
4.3380 -3.0802 -3.1701
```

Computed properties:
- SG = Pm
- relative energy among the computed polymorphs (eV/f.u.) = 0.52

=====

Record 9
Below is a geometry-optimized ReAs2CBr structure, with properties calculated at the GGA-PBE level.

Geometry as POSCAR:
```
ReAs2CBr
1.0
-0.2389 -4.1636 -2.2480
4.6646 0.1705 -0.8117
0.9093 -2.5808 4.6834
Re As C Br
1 2 1 1
Cartesian
0.0000 0.0000 0.0000
2.3323 0.0853 -0.4058
-0.1195 -2.0818 -1.1240
2.6675 -3.2869 0.8118
0.4546 -1.2904 2.3417
```

Computed properties:
- SG = P4/mmm
- relative energy among the computed polymorphs (eV/f.u.) = 0.52

=====

Record 10
Below is a geometry-optimized In2Ir structure, with properties calculated at the GGA-PBE level.

Geometry as POSCAR:
```
In2Ir
1.0
6.8599 0.0000 0.0000
0.0000 6.8599 0.0000
0.0000 0.0000 3.1469
In Ir
4 2
Cartesian
4.9825 1.8774 0.0000
1.8774 4.9825 0.0000
5.3073 5.3073 1.5735
1.5526 1.5526 1.5735
0.0000 0.0000 0.0000
3.4299 3.4299 1.5735
```

Computed properties:
- SG = P4_2/mnm
- ΔH_f (0 K) (eV per atom) = -0.027

=====

Record 11
Below is a geometry-optimized Ce2AlAg5 structure, with properties calculated at the GGA-PBE level.

Geometry as POSCAR:
```
Ce2AlAg5
1.0
4.4894 0.0000 0.0000
-2.2447 8.3730 0.0000
0.0000 0.0000 9.7038
Ce Al Ag
4 2 10
Cartesian
2.2447 5.0948 7.2779
0.0000 3.2782 2.4260
0.0000 0.0000 0.0000
0.0000 0.0000 4.8519
0.0000 7.5531 7.2779
2.2447 0.8198 2.4260
0.0000 3.2151 8.6760
2.2447 5.1579 1.0278
0.0000 3.2151 5.8797
2.2447 5.1579 3.8241
0.0000 6.0326 9.3717
2.2447 2.3404 0.3321
0.0000 6.0326 5.1840
2.2447 2.3404 4.5198
2.2447 1.7314 7.2779
0.0000 6.6416 2.4260
```

Computed properties:
- SG = Cmcm
- ΔH_f (0 K) (eV per atom) = -0.106

=====

Record 12
Below is a geometry-optimized CuSbOs structure, with properties calculated at the GGA-PBE level.

Geometry as POSCAR:
```
CuSbOs
1.0
-4.9012 -4.9553 -1.5173
-3.1389 -6.0706 0.5693
-2.6084 1.0343 0.9111
Cu Os Sb
1 1 1
Cartesian
-7.9843 -10.9020 -0.9289
-4.4488 -3.0522 0.2811
-6.2554 -7.0634 -0.3372
```

Computed properties:
- SG = Fmm2
- relative energy among the computed polymorphs (eV/f.u.) = 1.38

=====

Record 13
Below is a geometry-optimized Na14TlSn structure, with properties calculated at the GGA-PBE level.

Geometry as POSCAR:
```
Na14TlSn
1.0
7.3174 -0.0154 0.0000
0.0158 7.3174 0.0000
0.0000 0.0000 9.9407
Na Tl Sn
14 1 1
Cartesian
6.4165 6.3893 0.0000
2.7499 2.7382 0.0000
6.4086 2.7306 4.9704
6.4086 2.7306 0.0000
2.7579 6.3969 4.9704
2.7578 6.3969 0.0000
4.5527 0.9278 2.7350
4.5527 0.9278 7.2057
0.9472 4.5487 2.7350
0.9472 4.5487 7.2057
4.5599 4.5406 2.7357
4.5599 4.5406 7.2051
0.9399 0.9359 2.7357
0.9399 0.9359 7.2050
6.4164 6.3892 4.9704
2.7499 2.7382 4.9704
```

Computed properties:
- SG = P4/mmm
- ΔH_f (0 K) (eV per atom) = -0.037

=====

Record 14
Below is a geometry-optimized Nd3Pd4 structure, with properties calculated at the GGA-PBE level.

Geometry as POSCAR:
```
Nd3Pd4
1.0
-2.7975 -6.5570 3.9811
6.7201 -1.3500 -4.4371
0.2124 6.8322 4.4662
Nd Pd
6 8
Cartesian
1.4299 -2.2522 4.4516
4.6429 -1.9765 1.2124
3.3876 1.7696 3.5109
2.7051 1.1774 -0.4414
-0.5080 0.9017 2.7977
0.7474 -2.8444 0.4993
0.0000 0.0000 0.0000
2.0675 -0.5374 2.0051
2.6818 -4.1665 2.2931
5.2376 1.1085 1.0716
1.0274 0.7324 5.3121
1.4531 3.0916 1.7170
-1.1027 -2.1833 2.9386
3.1076 -1.8072 -1.3019
```

Computed properties:
- SG = R-3
- ΔH_f (0 K) (eV per atom) = -0.811
- relative energy among the computed polymorphs (eV/f.u.) = 0.00

=====

Record 15
Below is a geometry-optimized MgTa2Co structure, with properties calculated at the GGA-PBE level.

Geometry as POSCAR:
```
MgTa2Co
1.0
-3.5447 3.8507 -0.0390
-4.8223 1.5650 1.3000
-0.1673 2.5599 4.2099
Co Mg Ta
1 1 2
Cartesian
-4.1412 3.7482 2.4467
-1.8965 2.0119 1.6247
-0.2568 2.5720 4.1452
-6.6743 6.1910 4.1996
```

Computed properties:
- SG = Cm
- ΔH_f (0 K) (eV per atom) = 0.165

=====

Record 16
Below is a geometry-optimized Ag3PdS structure, with properties calculated at the GGA-PBE level.

Geometry as POSCAR:
```
Ag3PdS
1.0
4.7396 0.0000 0.0000
0.0000 4.7396 0.0000
0.0000 0.0000 4.7396
S Pd Ag
1 1 3
Cartesian
0.0000 0.0000 0.0000
2.3698 2.3698 2.3698
0.0000 2.3698 0.0000
0.0000 0.0000 2.3698
2.3698 0.0000 0.0000
```

Computed properties:
- SG = Pm-3m
- relative energy among the computed polymorphs (eV/f.u.) = 0.00

=====

Record 17
Below is a geometry-optimized LiPr3Dy3Te8 structure, with properties calculated at the GGA-PBE level.

Geometry as POSCAR:
```
LiPr3Dy3Te8
1.0
-1.9354 -8.4568 1.5902
6.4910 2.0598 -5.6054
1.0764 1.3889 8.6962
Li Pr Dy Te
1 3 3 8
Cartesian
0.5382 0.6944 4.3481
0.0000 0.0000 0.0000
3.2455 1.0299 -2.8027
2.2778 -3.1985 -2.0076
-0.4295 -3.5340 5.1432
2.8160 -2.5040 2.3405
3.7837 1.7243 1.5454
3.0917 -0.7378 -0.1607
2.5403 -4.2703 4.8417
2.1018 -4.9603 0.6387
3.5301 -0.0478 4.0423
-1.1177 -5.9818 3.4187
6.7496 0.9737 1.2623
-0.1578 -1.7877 2.6300
5.7897 -3.2204 2.0509
```

Computed properties:
- SG = R-3m

=====

Record 18
Below is a geometry-optimized TbThZr2 structure, with properties calculated at the GGA-PBE level.

Geometry as POSCAR:
```
TbThZr2
1.0
-0.2723 2.7688 -2.8278
-2.9681 1.7320 1.9817
4.6165 3.9711 3.4438
Tb Zr Th
1 2 1
Cartesian
0.6880 4.2359 1.2988
3.6023 3.0987 2.6872
1.0142 0.8725 0.7566
-1.6202 2.2504 -0.4231
```

Computed properties:
- SG = P4/mmm
- ΔH_f (0 K) (eV per atom) = 0.114
- relative energy among the computed polymorphs (eV/f.u.) = 0.00

=====

Record 19
Below is a geometry-optimized CaTm2Ga9 structure, with properties calculated at the GGA-PBE level.

Geometry as POSCAR:
```
CaTm2Ga9
1.0
4.2717 0.0000 0.0000
0.0000 4.2717 0.0000
0.0000 0.0000 12.8063
Ca Tm Ga
1 2 9
Cartesian
0.0000 0.0000 0.0000
0.0000 0.0000 4.3124
0.0000 0.0000 8.4939
2.1359 2.1359 0.0000
2.1359 2.1359 4.2694
2.1359 2.1359 8.5369
2.1359 0.0000 2.1725
2.1359 0.0000 6.4031
2.1359 0.0000 10.6338
0.0000 2.1359 2.1725
0.0000 2.1359 6.4031
0.0000 2.1359 10.6338
```

Computed properties:
- SG = P4/mmm
- ΔH_f (0 K) (eV per atom) = -0.450

=====

Record 20
Below is a geometry-optimized LiTbIn2Pt4 structure, with properties calculated at the GGA-PBE level.

Geometry as POSCAR:
```
LiTbIn2Pt4
1.0
-1.4992 -2.4843 -3.5556
-3.1754 -3.2495 0.6476
-7.3176 3.4536 -2.2894
Li Tb In Pt
1 1 2 4
Cartesian
-5.9961 -1.1401 -2.5987
0.0000 0.0000 0.0000
-8.8864 -1.8105 -3.8734
-3.1058 -0.4697 -1.3240
-7.8445 0.5817 -3.0224
-6.8710 -3.6878 -3.4114
-5.1211 1.4076 -1.7860
-4.1476 -2.8619 -2.1750
```

Computed properties:
- SG = R-3m
- ΔH_f (0 K) (eV per atom) = -0.720

=====

no.,total energy (eV/atom)
1,-6.716
2,-3.589
3,-4.178
4,-2.703
5,-3.964
6,-4.134
7,-7.910
8,-2.728
9,-4.728
10,-4.806
11,-3.840
12,-5.663
13,-1.589
14,-5.821
15,-7.936
16,-3.141
17,-5.047
18,-7.172
19,-3.632
20,-5.243